Material: PdW3O
Method: DFT, PBE with a Hubbard U
State: relaxed

POSCAR file:
```
PdW3O
1.0
4.1866 0.0000 0.0000
0.0000 4.1866 0.0000
0.0000 0.0000 4.1866
Pd W O
1 3 1
direct
0.5000 0.5000 0.5000
0.5000 0.0000 0.0000
0.0000 0.0000 0.5000
0.0000 0.5000 0.0000
0.0000 0.0000 0.0000
```

Results
density of states at the Fermi level = 0.8473 states/eV/atom
E = -5.765 eV per atom
E above lowest polymorph = 0.000 eV per formula unit